The following is a GGA-PBE calculation of a relaxed structure of Cu2SbOs, from the Alexandria database.

Output
The value obtained for the energy is -5.430 eV/atom. For the raw formation energy, the calculation gives 0.456 eV per atom. The calculation puts the density of states at the Fermi level at 0.64 states/eV per atom.

a b c (Å): 4.549 4.549 3.151
angles (deg): 90.00 90.00 110.00
Positions (direct):
Cu  0.500  0.500  0.000
Cu  0.000  0.000  0.000
Os  0.500  0.000  0.500
Sb  0.000  0.500  0.500